Record 1
{
  "formula": "PmPrTe",
  "functional": "PBE-GGA",
  "state": "relaxed",
  "polymorph_energy_ev_per_atom": 0.0125,
  "total_energy_ev_per_fu": -15.057,
  "dos_at_fermi_per_ev_cell": 14.6,
  "space_group": "No. 12",
  "formation_energy_uncorrected_mev_per_atom": -795,
  "cell": [[8.5354, -2.0764, 0.0000], [8.5354, 2.0764, 0.0000], [-0.7612, 0.0000, 11.3852]],
  "species": ["Pm", "Pm", "Pm", "Pm", "Pr", "Pr", "Pr", "Pr", "Te", "Te", "Te", "Te"],
  "fractional_positions": [[0.1904, 0.1904, 0.0777], [0.2498, 0.2498, 0.6571], [0.7502, 0.7502, 0.3429], [0.8096, 0.8096, 0.9223], [0.0274, 0.0274, 0.3542], [0.3883, 0.3883, 0.1603], [0.6117, 0.6117, 0.8397], [0.9726, 0.9726, 0.6458], [0.3840, 0.3840, 0.4539], [0.4235, 0.4235, 0.8355], [0.5765, 0.5765, 0.1645], [0.6160, 0.6160, 0.5461]]
}

=====

Record 2
{
  "formula": "Pm2PrTh3Te6",
  "functional": "PBE-GGA",
  "state": "relaxed",
  "total_energy_ev_per_fu": -69.789,
  "dos_at_fermi_per_ev_cell": 10.5,
  "space_group": "No. 12",
  "formation_energy_uncorrected_mev_per_atom": -1200,
  "cell": [[9.9600, -2.2110, 0.0000], [9.9600, 2.2110, 0.0000], [-2.7873, 0.0000, 8.6332]],
  "species": ["Pm", "Pm", "Pr", "Th", "Th", "Th", "Te", "Te", "Te", "Te", "Te", "Te"],
  "fractional_positions": [[0.1669, 0.1669, 0.3315], [0.8331, 0.8331, 0.6685], [0.5000, 0.5000, 0.0000], [0.1646, 0.1646, 0.8294], [0.5000, 0.5000, 0.5000], [0.8354, 0.8354, 0.1706], [0.0022, 0.0022, 0.2513], [0.3325, 0.3325, 0.4212], [0.3323, 0.3323, 0.9155], [0.6677, 0.6677, 0.0845], [0.6675, 0.6675, 0.5788], [0.9978, 0.9978, 0.7487]]
}

=====

Record 3
{
  "formula": "Pm2PrTl3Te6",
  "functional": "PBE-GGA",
  "state": "relaxed",
  "total_energy_ev_per_fu": -53.137,
  "space_group": "No. 12",
  "formation_energy_uncorrected_mev_per_atom": -1076,
  "cell": [[3.9524, -6.8438, 0.0000], [3.9524, 6.8438, 0.0000], [-2.6347, 0.0000, 8.1792]],
  "species": ["Pm", "Pm", "Pr", "Tl", "Tl", "Tl", "Te", "Te", "Te", "Te", "Te", "Te"],
  "fractional_positions": [[0.1668, 0.8332, 0.0000], [0.8332, 0.1668, 0.0000], [0.5000, 0.5000, 0.0000], [0.0000, 0.0000, 0.5000], [0.3342, 0.6658, 0.5000], [0.6658, 0.3342, 0.5000], [0.0899, 0.4265, 0.7797], [0.2365, 0.2365, 0.2195], [0.4265, 0.0899, 0.7797], [0.5735, 0.9101, 0.2203], [0.7635, 0.7635, 0.7805], [0.9101, 0.5735, 0.2203]]
}

=====

Record 4
{
  "formula": "Pm3Pr4TmTe8",
  "functional": "PBE-GGA",
  "state": "relaxed",
  "total_energy_ev_per_fu": -85.215,
  "dos_at_fermi_per_ev_cell": 12.1,
  "space_group": "No. 166",
  "formation_energy_uncorrected_mev_per_atom": -1390,
  "cell": [[4.4654, 2.5781, 7.3659], [-4.4654, 2.5781, 7.3659], [0.0000, -5.1563, 7.3659]],
  "species": ["Pm", "Pm", "Pm", "Pr", "Pr", "Pr", "Pr", "Tm", "Te", "Te", "Te", "Te", "Te", "Te", "Te", "Te"],
  "fractional_positions": [[0.0000, 0.5000, 0.5000], [0.5000, 0.0000, 0.5000], [0.5000, 0.5000, 0.0000], [0.0000, 0.0000, 0.5000], [0.0000, 0.5000, 0.0000], [0.5000, 0.0000, 0.0000], [0.5000, 0.5000, 0.5000], [0.0000, 0.0000, 0.0000], [0.2429, 0.2429, 0.7536], [0.2429, 0.7536, 0.2429], [0.2464, 0.7571, 0.7571], [0.2518, 0.2518, 0.2518], [0.7482, 0.7482, 0.7482], [0.7536, 0.2429, 0.2429], [0.7571, 0.2464, 0.7571], [0.7571, 0.7571, 0.2464]]
}

=====

Record 5
{
  "formula": "Pm2Pr3TmTe6",
  "functional": "PBE-GGA",
  "state": "relaxed",
  "total_energy_ev_per_fu": -63.821,
  "dos_at_fermi_per_ev_cell": 6.7,
  "space_group": "No. 12",
  "formation_energy_uncorrected_mev_per_atom": -1388,
  "cell": [[9.7811, -2.2152, 0.0000], [9.7811, 2.2152, 0.0000], [-2.1402, 0.0000, 8.7668]],
  "species": ["Pm", "Pm", "Pr", "Pr", "Pr", "Tm", "Te", "Te", "Te", "Te", "Te", "Te"],
  "fractional_positions": [[0.1703, 0.1703, 0.3372], [0.8297, 0.8297, 0.6628], [0.1727, 0.1727, 0.8354], [0.5000, 0.5000, 0.5000], [0.8273, 0.8273, 0.1646], [0.5000, 0.5000, 0.0000], [0.9999, 0.9999, 0.2365], [0.0001, 0.0001, 0.7635], [0.3341, 0.3341, 0.4198], [0.3410, 0.3410, 0.9170], [0.6590, 0.6590, 0.0830], [0.6659, 0.6659, 0.5802]]
}

=====

Record 6
{
  "formula": "Pm2PrTmTe5",
  "functional": "PBE-GGA",
  "state": "relaxed",
  "total_energy_ev_per_fu": -41.965,
  "dos_at_fermi_per_ev_cell": 5.1,
  "space_group": "No. 123",
  "formation_energy_uncorrected_mev_per_atom": -834,
  "cell": [[5.4798, 0.0000, 0.0000], [0.0000, 5.4798, 0.0000], [0.0000, 0.0000, 11.8285]],
  "species": ["Pm", "Pm", "Pr", "Tm", "Te", "Te", "Te", "Te", "Te"],
  "fractional_positions": [[0.0000, 0.0000, 0.1555], [0.0000, 0.0000, 0.8445], [0.5000, 0.5000, 0.5000], [0.5000, 0.5000, 0.0000], [0.0000, 0.0000, 0.5000], [0.0000, 0.5000, 0.0000], [0.5000, 0.0000, 0.0000], [0.5000, 0.5000, 0.2478], [0.5000, 0.5000, 0.7522]]
}

=====

Record 7
{
  "formula": "PmPr2TmTe5",
  "functional": "PBE-GGA",
  "state": "relaxed",
  "total_energy_ev_per_fu": -42.359,
  "dos_at_fermi_per_ev_cell": 5.8,
  "space_group": "No. 123",
  "formation_energy_uncorrected_mev_per_atom": -874,
  "cell": [[5.4833, 0.0000, 0.0000], [0.0000, 5.4833, 0.0000], [0.0000, 0.0000, 11.7170]],
  "species": ["Pm", "Pr", "Pr", "Tm", "Te", "Te", "Te", "Te", "Te"],
  "fractional_positions": [[0.0000, 0.0000, 0.0000], [0.5000, 0.5000, 0.3351], [0.5000, 0.5000, 0.6649], [0.0000, 0.0000, 0.5000], [0.0000, 0.0000, 0.2500], [0.0000, 0.0000, 0.7500], [0.0000, 0.5000, 0.5000], [0.5000, 0.0000, 0.5000], [0.5000, 0.5000, 0.0000]]
}

=====

Record 8
{
  "formula": "Pm2PrTm3Te6",
  "functional": "PBE-GGA",
  "state": "relaxed",
  "total_energy_ev_per_fu": -62.183,
  "dos_at_fermi_per_ev_cell": 5.5,
  "space_group": "No. 12",
  "formation_energy_uncorrected_mev_per_atom": -1303,
  "cell": [[9.6874, -2.1601, 0.0000], [9.6874, 2.1601, 0.0000], [-2.4619, 0.0000, 8.6086]],
  "species": ["Pm", "Pm", "Pr", "Tm", "Tm", "Tm", "Te", "Te", "Te", "Te", "Te", "Te"],
  "fractional_positions": [[0.1657, 0.1657, 0.3313], [0.8343, 0.8343, 0.6687], [0.5000, 0.5000, 0.0000], [0.1651, 0.1651, 0.8324], [0.5000, 0.5000, 0.5000], [0.8349, 0.8349, 0.1676], [0.0030, 0.0030, 0.7383], [0.3282, 0.3282, 0.9246], [0.3362, 0.3362, 0.4089], [0.6638, 0.6638, 0.5911], [0.6718, 0.6718, 0.0754], [0.9970, 0.9970, 0.2617]]
}

=====

Record 9
{
  "formula": "Pm3PrTm2Te6",
  "functional": "PBE-GGA",
  "state": "relaxed",
  "total_energy_ev_per_fu": -62.868,
  "dos_at_fermi_per_ev_cell": 6.8,
  "space_group": "No. 12",
  "formation_energy_uncorrected_mev_per_atom": -1337,
  "cell": [[9.6447, -2.1872, 0.0000], [9.6447, 2.1872, 0.0000], [-2.0093, 0.0000, 8.7127]],
  "species": ["Pm", "Pm", "Pm", "Pr", "Tm", "Tm", "Te", "Te", "Te", "Te", "Te", "Te"],
  "fractional_positions": [[0.0000, 0.0000, 0.0000], [0.3417, 0.3417, 0.6664], [0.6583, 0.6583, 0.3336], [0.0000, 0.0000, 0.5000], [0.3355, 0.3355, 0.1692], [0.6645, 0.6645, 0.8308], [0.1710, 0.1710, 0.0774], [0.1719, 0.1719, 0.5968], [0.4935, 0.4935, 0.2431], [0.5065, 0.5065, 0.7569], [0.8281, 0.8281, 0.4032], [0.8290, 0.8290, 0.9226]]
}

=====

Record 10
{
  "formula": "PmPr2Y3Te6",
  "functional": "PBE-GGA",
  "state": "relaxed",
  "total_energy_ev_per_fu": -69.039,
  "dos_at_fermi_per_ev_cell": 6.3,
  "space_group": "No. 12",
  "formation_energy_uncorrected_mev_per_atom": -1374,
  "cell": [[9.7086, -2.1981, 0.0000], [9.7086, 2.1981, 0.0000], [-2.2109, 0.0000, 8.6892]],
  "species": ["Pm", "Pr", "Pr", "Y", "Y", "Y", "Te", "Te", "Te", "Te", "Te", "Te"],
  "fractional_positions": [[0.0000, 0.0000, 0.0000], [0.3327, 0.3327, 0.6656], [0.6673, 0.6673, 0.3344], [0.0000, 0.0000, 0.5000], [0.3318, 0.3318, 0.1663], [0.6682, 0.6682, 0.8337], [0.1632, 0.1632, 0.5911], [0.1679, 0.1679, 0.0747], [0.4965, 0.4965, 0.2541], [0.5035, 0.5035, 0.7459], [0.8321, 0.8321, 0.9253], [0.8368, 0.8368, 0.4089]]
}